# Re2BiBAu (PBE-GGA, optimized geometry)
data_Re2BiBAu
_chemical_formula_sum 'Re2 Bi1 B1 Au1'
_space_group_name_H-M_alt 'P 4/m m m'
_space_group_IT_number 123
_space_group_name_Hall '-P 4 2'
_cell_length_a 5.165
_cell_length_b 5.165
_cell_length_c 3.945
_cell_angle_alpha 90.00
_cell_angle_beta 90.00
_cell_angle_gamma 90.00
loop_
_atom_site_label
_atom_site_fract_x
_atom_site_fract_y
_atom_site_fract_z
Re1 0.000 0.500 0.000
Bi1 0.000 0.000 0.500
B1 0.500 0.500 0.500
Au1 0.500 0.500 0.000
# * V: 105.22 Å³/f.u.
# * final energy: -28.4 eV per formula unit
# * energy of formation: 2.064 eV per atom

***

# BiBRu2Au (PBE-GGA, optimized geometry)
data_BiBRu2Au
_chemical_formula_sum 'Bi1 B1 Ru2 Au1'
_space_group_name_H-M_alt 'P 4/m m m'
_space_group_IT_number 123
_space_group_name_Hall '-P 4 2'
_cell_length_a 5.078
_cell_length_b 5.078
_cell_length_c 4.410
_cell_angle_alpha 90.00
_cell_angle_beta 90.00
_cell_angle_gamma 90.00
loop_
_atom_site_label
_atom_site_fract_x
_atom_site_fract_y
_atom_site_fract_z
Bi1 0.000 0.000 0.000
B1 0.000 0.000 0.500
Ru1 0.000 0.500 0.000
Au1 0.500 0.500 0.500
# * V: 113.74 Å³/f.u.
# * final energy: -21.2 eV per formula unit
# * energy of formation: 2.230 eV per atom

***

# Bi2BAuS (PBE-GGA, optimized geometry)
data_Bi2BAuS
_chemical_formula_sum 'Bi2 B1 Au1 S1'
_space_group_name_H-M_alt 'P 4/m m m'
_space_group_IT_number 123
_space_group_name_Hall '-P 4 2'
_cell_length_a 5.220
_cell_length_b 5.220
_cell_length_c 4.163
_cell_angle_alpha 90.00
_cell_angle_beta 90.00
_cell_angle_gamma 90.00
loop_
_atom_site_label
_atom_site_fract_x
_atom_site_fract_y
_atom_site_fract_z
Bi1 0.000 0.500 0.000
B1 0.000 0.000 0.000
Au1 0.000 0.000 0.500
S1 0.500 0.500 0.500
# * V: 113.45 Å³/f.u.
# * final energy: -19.5 eV per formula unit
# * formation energy (no corrections): 468 meV per atom

***

# VBi2BAu (PBE-GGA, optimized geometry)
data_VBi2BAu
_chemical_formula_sum 'V1 Bi2 B1 Au1'
_space_group_name_H-M_alt 'P 4/m m m'
_space_group_IT_number 123
_space_group_name_Hall '-P 4 2'
_cell_length_a 5.250
_cell_length_b 5.250
_cell_length_c 4.146
_cell_angle_alpha 90.00
_cell_angle_beta 90.00
_cell_angle_gamma 90.00
loop_
_atom_site_label
_atom_site_fract_x
_atom_site_fract_y
_atom_site_fract_z
V1 0.000 0.000 0.000
Bi1 0.000 0.500 0.000
B1 0.000 0.000 0.500
Au1 0.500 0.500 0.500
# * V: 114.25 Å³/f.u.
# * final energy: -23.2 eV per formula unit
# * energy of formation: 0.736 eV per atom

***

# B2AuBr8 (PBE-GGA, optimized geometry)
data_B2AuBr8
_chemical_formula_sum 'B4 Au2 Br16'
_space_group_name_H-M_alt 'C 1 2/m 1'
_space_group_IT_number 12
_space_group_name_Hall '-C 2y'
_cell_length_a 11.846
_cell_length_b 10.218
_cell_length_c 6.717
_cell_angle_alpha 90.00
_cell_angle_beta 91.34
_cell_angle_gamma 90.00
loop_
_atom_site_label
_atom_site_fract_x
_atom_site_fract_y
_atom_site_fract_z
B1 0.223 0.000 0.319
Au1 0.000 0.000 0.000
Br1 0.126 0.159 0.209
Br2 0.127 0.500 0.800
Br3 0.226 0.000 0.613
# * V: 406.37 Å³/f.u.
# * final energy: -33.7 eV per formula unit
# * formation energy (no corrections): -336 meV per atom

***

# B3AuBr (PBE-GGA, optimized geometry)
data_B3AuBr
_chemical_formula_sum 'B3 Au1 Br1'
_space_group_name_H-M_alt 'P m -3 m'
_space_group_IT_number 221
_space_group_name_Hall '-P 4 2 3'
_cell_length_a 4.142
_cell_length_b 4.142
_cell_length_c 4.142
_cell_angle_alpha 90.00
_cell_angle_beta 90.00
_cell_angle_gamma 90.00
loop_
_atom_site_label
_atom_site_fract_x
_atom_site_fract_y
_atom_site_fract_z
B1 0.000 0.000 0.500
Au1 0.500 0.500 0.500
Br1 0.000 0.000 0.000
# * energy above the lowest structure with this stoichiometry: 86.0 kJ/mol of atoms
# * V: 71.05 Å³/f.u.
# * final energy: -12.5 eV per formula unit
# * formation energy (no corrections): 2493 meV per atom

***

# BAu2Br (PBE-GGA, optimized geometry)
data_BAu2Br
_chemical_formula_sum 'B4 Au8 Br4'
_space_group_name_H-M_alt 'F m -3 m'
_space_group_IT_number 225
_space_group_name_Hall '-F 4 2 3'
_cell_length_a 6.635
_cell_length_b 6.635
_cell_length_c 6.635
_cell_angle_alpha 90.00
_cell_angle_beta 90.00
_cell_angle_gamma 90.00
loop_
_atom_site_label
_atom_site_fract_x
_atom_site_fract_y
_atom_site_fract_z
B1 0.000 0.000 0.000
Au1 0.250 0.250 0.250
Br1 0.000 0.000 0.500
# * energy above the lowest structure with this stoichiometry: 88.5 kJ/mol of atoms
# * V: 73.02 Å³/f.u.
# * final energy: -9.8 eV per formula unit
# * formation energy (no corrections): 1275 meV per atom

***

# B3AuBr (PBE-GGA, optimized geometry)
data_B3AuBr
_chemical_formula_sum 'B3 Au1 Br1'
_space_group_name_H-M_alt 'P m -3 m'
_space_group_IT_number 221
_space_group_name_Hall '-P 4 2 3'
_cell_length_a 4.318
_cell_length_b 4.318
_cell_length_c 4.318
_cell_angle_alpha 90.00
_cell_angle_beta 90.00
_cell_angle_gamma 90.00
loop_
_atom_site_label
_atom_site_fract_x
_atom_site_fract_y
_atom_site_fract_z
B1 0.000 0.000 0.500
Au1 0.000 0.000 0.000
Br1 0.500 0.500 0.500
# * energy above the lowest structure with this stoichiometry: 0.0 kJ/mol of atoms
# * V: 80.54 Å³/f.u.
# * final energy: -17.0 eV per formula unit
# * formation energy (no corrections): 1601 meV per atom

***

# BAu2Br (PBE-GGA, optimized geometry)
data_BAu2Br
_chemical_formula_sum 'B4 Au8 Br4'
_space_group_name_H-M_alt 'I -4 2 d'
_space_group_IT_number 122
_space_group_name_Hall 'I -4 2bw'
_cell_length_a 6.294
_cell_length_b 6.294
_cell_length_c 8.279
_cell_angle_alpha 90.00
_cell_angle_beta 90.00
_cell_angle_gamma 90.00
loop_
_atom_site_label
_atom_site_fract_x
_atom_site_fract_y
_atom_site_fract_z
B1 0.000 0.000 0.000
Au1 0.154 0.250 0.125
Br1 0.000 0.000 0.500
# * energy above the lowest structure with this stoichiometry: 0.0 kJ/mol of atoms
# * V: 81.99 Å³/f.u.
# * final energy: -13.5 eV per formula unit
# * formation energy (no corrections): 358 meV per atom

***

# CrBAu2Br (PBE-GGA, optimized geometry)
data_CrBAu2Br
_chemical_formula_sum 'Cr1 B1 Au2 Br1'
_space_group_name_H-M_alt 'P 4/m m m'
_space_group_IT_number 123
_space_group_name_Hall '-P 4 2'
_cell_length_a 5.134
_cell_length_b 5.134
_cell_length_c 4.259
_cell_angle_alpha 90.00
_cell_angle_beta 90.00
_cell_angle_gamma 90.00
loop_
_atom_site_label
_atom_site_fract_x
_atom_site_fract_y
_atom_site_fract_z
Cr1 0.000 0.000 0.000
B1 0.500 0.500 0.000
Au1 0.000 0.500 0.500
Br1 0.500 0.500 0.500
# * V: 112.26 Å³/f.u.
# * final energy: -16.0 eV per formula unit
# * formation energy (no corrections): 1711 meV per atom

***

# CsB2AuBr8 (PBE-GGA, optimized geometry)
data_CsB2AuBr8
_chemical_formula_sum 'Cs3 B6 Au3 Br24'
_space_group_name_H-M_alt 'R -3'
_space_group_IT_number 148
_space_group_name_Hall '-R 3'
_cell_length_a 6.5931
_cell_length_b 6.5931
_cell_length_c 30.4505
_cell_angle_alpha 90.00
_cell_angle_beta 90.00
_cell_angle_gamma 120.00
loop_
_atom_site_label
_atom_site_fract_x
_atom_site_fract_y
_atom_site_fract_z
Cs1 0.0000 0.0000 0.0000
B1 0.0000 0.0000 0.2451
Au1 0.0000 0.0000 0.5000
Br1 0.0000 0.0000 0.3121
Br2 0.0033 0.7078 0.7759
# * V: 382.11 Å³/f.u.
# * final energy: -37.9 eV per formula unit
# * formation energy (no corrections): -584 meV per atom

***

# GeBAuBr2 (PBE-GGA, optimized geometry)
data_GeBAuBr2
_chemical_formula_sum 'Ge1 B1 Au1 Br2'
_space_group_name_H-M_alt 'P 4/m m m'
_space_group_IT_number 123
_space_group_name_Hall '-P 4 2'
_cell_length_a 5.477
_cell_length_b 5.477
_cell_length_c 4.881
_cell_angle_alpha 90.00
_cell_angle_beta 90.00
_cell_angle_gamma 90.00
loop_
_atom_site_label
_atom_site_fract_x
_atom_site_fract_y
_atom_site_fract_z
Ge1 0.000 0.000 0.000
B1 0.500 0.500 0.500
Au1 0.000 0.000 0.500
Br1 0.000 0.500 0.000
# * V: 146.43 Å³/f.u.
# * final energy: -13.3 eV per formula unit
# * formation energy (no corrections): 930 meV per atom

***

# B2PtAuBr (PBE-GGA, optimized geometry)
data_B2PtAuBr
_chemical_formula_sum 'B2 Pt1 Au1 Br1'
_space_group_name_H-M_alt 'P 4/m m m'
_space_group_IT_number 123
_space_group_name_Hall '-P 4 2'
_cell_length_a 4.148
_cell_length_b 4.148
_cell_length_c 4.947
_cell_angle_alpha 90.00
_cell_angle_beta 90.00
_cell_angle_gamma 90.00
loop_
_atom_site_label
_atom_site_fract_x
_atom_site_fract_y
_atom_site_fract_z
B1 0.000 0.500 0.000
Pt1 0.000 0.000 0.500
Au1 0.500 0.500 0.500
Br1 0.000 0.000 0.000
# * V: 85.10 Å³/f.u.
# * final energy: -14.1 eV per formula unit
# * formation energy (no corrections): 2048 meV per atom

***

# RbBAuBr2 (PBE-GGA, optimized geometry)
data_RbBAuBr2
_chemical_formula_sum 'Rb1 B1 Au1 Br2'
_space_group_name_H-M_alt 'P 4/m m m'
_space_group_IT_number 123
_space_group_name_Hall '-P 4 2'
_cell_length_a 6.319
_cell_length_b 6.319
_cell_length_c 5.784
_cell_angle_alpha 90.00
_cell_angle_beta 90.00
_cell_angle_gamma 90.00
loop_
_atom_site_label
_atom_site_fract_x
_atom_site_fract_y
_atom_site_fract_z
Rb1 0.000 0.000 0.000
B1 0.000 0.000 0.500
Au1 0.500 0.500 0.500
Br1 0.000 0.500 0.000
# * V: 230.97 Å³/f.u.
# * final energy: -8.2 eV per formula unit
# * formation energy (no corrections): 1214 meV per atom